a.
Computed, not measured: a relaxed Dy2Er3Al2 crystal at the PBE-GGA level of DFT.

a = 12.067 Å, b = 12.067 Å, c = 3.341 Å
α = 90.00°, β = 90.00°, γ = 157.92°
Element x y z (fractional)
Al1 0.433 0.567 0.500
Al2 0.567 0.433 0.500
Er1 0.866 0.134 0.000
Er2 0.134 0.866 0.000
Er3 0.000 0.000 0.000
Dy1 0.710 0.290 0.500
Dy2 0.290 0.710 0.500

Output
N(E_F) in states/eV/atom: 0.93
Space group: No. 65

=====

b.
Computed, not measured: a relaxed Dy2Er3Al2 crystal at the PBE-GGA level of DFT.

a = 5.237 Å, b = 5.240 Å, c = 8.327 Å
α = 108.31°, β = 90.00°, γ = 119.99°
Element x y z (fractional)
Er1 0.500 0.000 0.000
Er2 0.348 0.695 0.543
Er3 0.652 0.305 0.457
Dy1 0.917 0.835 0.253
Dy2 0.083 0.165 0.747
Al1 0.782 0.564 0.845
Al2 0.218 0.436 0.155

Output
N(E_F) in states/eV/atom: 0.54
Space group: No. 166

=====

Stability, lowest: a

=====

a.
Computed, not measured: a relaxed DyErAl crystal at the PBE-GGA level of DFT.

a = 3.533 Å, b = 5.044 Å, c = 5.044 Å
α = 120.00°, β = 90.00°, γ = 90.00°
Element x y z (fractional)
Er1 0.392 0.333 0.667
Dy1 0.952 0.000 0.000
Al1 0.656 0.667 0.333

Output
N(E_F) in states/eV/atom: 0.62
Space group: No. 156

=====

b.
Computed, not measured: a relaxed DyErAl crystal at the PBE-GGA level of DFT.

a = 3.427 Å, b = 3.427 Å, c = 7.103 Å
α = 103.96°, β = 103.96°, γ = 90.00°
Element x y z (fractional)
Al1 0.949 0.949 0.898
Er1 0.301 0.301 0.603
Dy1 0.600 0.600 0.199

Output
N(E_F) in states/eV/atom: 0.69
Space group: No. 107

=====

c.
Computed, not measured: a relaxed DyErAl crystal at the PBE-GGA level of DFT.

a = 8.130 Å, b = 8.130 Å, c = 3.440 Å
α = 89.99°, β = 102.22°, γ = 155.58°
Element x y z (fractional)
Dy1 0.918 0.235 0.153
Er1 0.335 0.027 0.361
Al1 0.462 0.463 0.925

Output
N(E_F) in states/eV/atom: 1.24
Space group: No. 160

=====

Stability, lowest: c

=====

a.
Computed, not measured: a relaxed Dy3ErAl crystal at the PBE-GGA level of DFT.

a = 5.512 Å, b = 5.512 Å, c = 5.512 Å
α = 96.56°, β = 96.56°, γ = 96.56°
Element x y z (fractional)
Dy1 0.269 0.680 0.269
Dy2 0.269 0.269 0.680
Dy3 0.680 0.269 0.269
Er1 0.770 0.770 0.770
Al1 0.136 0.136 0.136

Output
N(E_F) in states/eV/atom: 1.68
Space group: No. 160

=====

b.
Computed, not measured: a relaxed Dy3ErAl crystal at the PBE-GGA level of DFT.

a = 3.579 Å, b = 6.681 Å, c = 12.380 Å
α = 84.87°, β = 90.01°, γ = 74.45°
Element x y z (fractional)
Dy1 0.965 0.069 0.805
Dy2 0.859 0.282 0.551
Dy3 0.636 0.728 0.980
Dy4 0.141 0.718 0.449
Dy5 0.035 0.931 0.195
Dy6 0.364 0.272 0.020
Al1 0.448 0.103 0.377
Al2 0.552 0.897 0.623
Er1 0.223 0.554 0.748
Er2 0.777 0.446 0.252

Output
N(E_F) in states/eV/atom: 1.29
Space group: No. 12

=====

Stability, lowest: a

=====

a.
Computed, not measured: a relaxed DyEr2Al crystal at the PBE-GGA level of DFT.

a = 5.279 Å, b = 6.777 Å, c = 6.777 Å
α = 119.93°, β = 90.00°, γ = 90.00°
Element x y z (fractional)
Al1 0.500 0.667 0.333
Al2 0.000 0.332 0.668
Er1 0.000 0.349 0.174
Er2 0.500 0.174 0.826
Er3 0.000 0.826 0.651
Er4 0.000 0.826 0.174
Dy1 0.500 0.175 0.349
Dy2 0.500 0.651 0.825

Output
N(E_F) in states/eV/atom: 1.03
Space group: No. 38

=====

b.
Computed, not measured: a relaxed DyEr2Al crystal at the PBE-GGA level of DFT.

a = 5.313 Å, b = 5.313 Å, c = 5.313 Å
α = 60.00°, β = 60.00°, γ = 60.00°
Element x y z (fractional)
Er1 0.750 0.750 0.750
Er2 0.250 0.250 0.250
Dy1 0.000 0.000 0.000
Al1 0.500 0.500 0.500

Output
N(E_F) in states/eV/atom: 1.64
Space group: No. 225

=====

Stability, lowest: b

=====

a.
Computed, not measured: a relaxed DyEr2Al crystal at the PBE-GGA level of DFT.

a = 3.488 Å, b = 3.488 Å, c = 8.935 Å
α = 90.00°, β = 90.00°, γ = 90.00°
Element x y z (fractional)
Al1 0.500 0.500 0.000
Er1 0.000 0.000 0.214
Er2 0.000 0.000 0.786
Dy1 0.500 0.500 0.500

Output
N(E_F) in states/eV/atom: 0.97
Space group: No. 123

=====

b.
Computed, not measured: a relaxed DyEr2Al crystal at the PBE-GGA level of DFT.

a = 3.548 Å, b = 3.548 Å, c = 10.542 Å
α = 80.31°, β = 80.31°, γ = 60.00°
Element x y z (fractional)
Dy1 0.500 0.500 0.499
Er1 0.073 0.073 0.781
Er2 0.260 0.260 0.219
Al1 0.666 0.666 0.001

Output
N(E_F) in states/eV/atom: 0.98
Space group: No. 160

=====

c.
Computed, not measured: a relaxed DyEr2Al crystal at the PBE-GGA level of DFT.

a = 3.426 Å, b = 3.426 Å, c = 11.581 Å
α = 81.49°, β = 81.49°, γ = 60.00°
Element x y z (fractional)
Er1 0.900 0.900 0.300
Er2 0.100 0.100 0.700
Dy1 0.000 0.000 0.000
Al1 0.500 0.500 0.500

Output
N(E_F) in states/eV/atom: 1.27
Space group: No. 166

=====

Stability, lowest: c

=====

a.
Computed, not measured: a relaxed Dy2Er3Al3 crystal at the PBE-GGA level of DFT.

a = 3.647 Å, b = 5.110 Å, c = 11.172 Å
α = 103.22°, β = 99.39°, γ = 90.00°
Element x y z (fractional)
Er1 0.380 0.380 0.760
Er2 0.500 0.000 0.000
Er3 0.620 0.620 0.240
Al1 0.000 0.500 0.000
Al2 0.885 0.885 0.769
Al3 0.115 0.115 0.231
Dy1 0.730 0.230 0.461
Dy2 0.270 0.770 0.539

Output
N(E_F) in states/eV/atom: 0.66
Space group: No. 71

=====

b.
Computed, not measured: a relaxed Dy2Er3Al3 crystal at the PBE-GGA level of DFT.

a = 4.760 Å, b = 4.757 Å, c = 8.781 Å
α = 90.00°, β = 90.00°, γ = 90.00°
Element x y z (fractional)
Al1 0.500 0.000 0.500
Al2 0.000 0.500 0.500
Al3 0.000 0.500 0.000
Dy1 0.000 0.000 0.729
Dy2 0.000 0.000 0.271
Er1 0.500 0.000 0.000
Er2 0.500 0.500 0.726
Er3 0.500 0.500 0.274

Output
N(E_F) in states/eV/atom: 0.98
Space group: No. 47

=====

Stability, lowest: b

=====

a.
Computed, not measured: a relaxed DyEr3Al8 crystal at the PBE-GGA level of DFT.

a = 5.528 Å, b = 5.528 Å, c = 9.066 Å
α = 90.00°, β = 90.00°, γ = 120.00°
Element x y z (fractional)
Dy1 0.000 0.000 0.568
Al1 0.505 0.495 0.751
Al2 0.505 0.009 0.751
Al3 0.162 0.324 0.249
Al4 0.333 0.667 0.000
Al5 0.991 0.495 0.751
Al6 0.162 0.838 0.249
Al7 0.333 0.667 0.500
Al8 0.676 0.838 0.249
Er1 0.667 0.333 0.067
Er2 0.000 0.000 0.932
Er3 0.667 0.333 0.432

Output
N(E_F) in states/eV/atom: 0.48
Space group: No. 156

=====

b.
Computed, not measured: a relaxed DyEr3Al8 crystal at the PBE-GGA level of DFT.

a = 5.527 Å, b = 5.527 Å, c = 9.616 Å
α = 73.30°, β = 73.30°, γ = 60.00°
Element x y z (fractional)
Dy1 0.875 0.875 0.375
Al1 0.438 0.938 0.187
Al2 0.438 0.438 0.187
Al3 0.938 0.438 0.187
Al4 0.937 0.937 0.688
Al5 0.688 0.688 0.937
Al6 0.187 0.187 0.438
Al7 0.437 0.937 0.688
Al8 0.937 0.437 0.688
Er1 0.000 0.000 0.000
Er2 0.375 0.375 0.874
Er3 0.500 0.500 0.501

Output
N(E_F) in states/eV/atom: 0.83
Space group: No. 160

=====

Stability, lowest: a

=====

a.
Computed, not measured: a relaxed DyEr4Al2 crystal at the PBE-GGA level of DFT.

a = 10.304 Å, b = 6.697 Å, c = 6.049 Å
α = 112.26°, β = 90.00°, γ = 90.00°
Element x y z (fractional)
Er1 0.838 0.499 0.003
Er2 0.338 0.001 0.997
Er3 0.712 0.501 0.503
Er4 0.288 0.499 0.497
Er5 0.788 0.001 0.503
Er6 0.662 0.999 0.003
Er7 0.162 0.501 0.997
Er8 0.212 0.999 0.497
Al1 0.501 0.818 0.527
Al2 0.001 0.682 0.473
Al3 0.499 0.182 0.473
Al4 0.999 0.318 0.527
Dy1 0.000 0.000 0.000
Dy2 0.500 0.500 0.000

Output
N(E_F) in states/eV/atom: 1.05
Space group: No. 14

=====

b.
Computed, not measured: a relaxed DyEr4Al2 crystal at the PBE-GGA level of DFT.

a = 4.984 Å, b = 4.984 Å, c = 10.407 Å
α = 76.15°, β = 76.15°, γ = 60.00°
Element x y z (fractional)
Er1 0.298 0.298 0.106
Er2 0.102 0.102 0.694
Er3 0.702 0.702 0.894
Er4 0.898 0.898 0.306
Al1 0.600 0.600 0.200
Al2 0.400 0.400 0.800
Dy1 0.500 0.500 0.500

Output
N(E_F) in states/eV/atom: 1.27
Space group: No. 166

=====

Stability, lowest: b

=====

a.
Computed, not measured: a relaxed Dy2ErAl6 crystal at the PBE-GGA level of DFT.

a = 3.430 Å, b = 8.471 Å, c = 8.471 Å
α = 55.42°, β = 78.32°, γ = 78.32°
Element x y z (fractional)
Dy1 0.651 0.849 0.849
Dy2 0.349 0.151 0.151
Al1 0.161 0.169 0.510
Al2 0.839 0.831 0.490
Al3 0.000 0.172 0.828
Al4 0.839 0.490 0.831
Al5 0.161 0.510 0.169
Al6 0.000 0.828 0.172
Er1 0.500 0.500 0.500

Output
N(E_F) in states/eV/atom: 0.68
Space group: No. 71

=====

b.
Computed, not measured: a relaxed Dy2ErAl6 crystal at the PBE-GGA level of DFT.

a = 3.456 Å, b = 7.901 Å, c = 7.901 Å
α = 120.00°, β = 90.00°, γ = 90.00°
Element x y z (fractional)
Al1 0.500 0.000 0.667
Al2 0.500 0.667 0.667
Al3 0.500 0.333 0.333
Al4 0.500 0.000 0.333
Al5 0.500 0.667 0.000
Al6 0.500 0.333 0.000
Dy1 0.000 0.667 0.333
Dy2 0.000 0.333 0.667
Er1 0.000 0.000 0.000

Output
N(E_F) in states/eV/atom: 0.19
Space group: No. 191

=====

Stability, lowest: a

=====

a.
Computed, not measured: a relaxed DyErAlGa crystal at the PBE-GGA level of DFT.

a = 5.056 Å, b = 5.056 Å, c = 5.056 Å
α = 60.00°, β = 60.00°, γ = 60.00°
Element x y z (fractional)
Er1 0.500 0.500 0.500
Al1 0.750 0.750 0.750
Ga1 0.250 0.250 0.250
Dy1 0.000 0.000 0.000

Output
N(E_F) in states/eV/atom: 0.35
Space group: No. 216

=====

b.
Computed, not measured: a relaxed DyErAlGa crystal at the PBE-GGA level of DFT.

a = 4.390 Å, b = 4.047 Å, c = 5.899 Å
α = 90.00°, β = 111.85°, γ = 90.00°
Element x y z (fractional)
Er1 0.858 0.500 0.716
Al1 0.426 0.000 0.852
Ga1 0.577 0.500 0.154
Dy1 0.139 0.000 0.277

Output
N(E_F) in states/eV/atom: 0.80
Space group: No. 38

=====

Stability, lowest: a

=====

a.
Computed, not measured: a relaxed DyHoErAl crystal at the PBE-GGA level of DFT.

a = 5.319 Å, b = 5.319 Å, c = 5.319 Å
α = 60.00°, β = 60.00°, γ = 60.00°
Element x y z (fractional)
Er1 0.000 0.000 0.000
Ho1 0.750 0.750 0.750
Al1 0.250 0.250 0.250
Dy1 0.500 0.500 0.500

Output
N(E_F) in states/eV/atom: 1.58
Space group: No. 216

=====

b.
Computed, not measured: a relaxed DyHoErAl crystal at the PBE-GGA level of DFT.

a = 4.732 Å, b = 4.737 Å, c = 4.741 Å
α = 90.00°, β = 90.00°, γ = 90.00°
Element x y z (fractional)
Ho1 0.500 0.000 0.500
Al1 0.000 0.000 0.000
Er1 0.000 0.500 0.500
Dy1 0.500 0.500 0.000

Output
N(E_F) in states/eV/atom: 1.28
Space group: No. 47

=====

Stability, lowest: a

=====

a.
Computed, not measured: a relaxed DyErAlIn crystal at the PBE-GGA level of DFT.

a = 3.581 Å, b = 3.581 Å, c = 7.698 Å
α = 90.00°, β = 90.00°, γ = 90.00°
Element x y z (fractional)
Al1 0.000 0.000 0.354
Dy1 0.500 0.500 0.595
Er1 0.500 0.500 0.119
In1 0.000 0.000 0.860

Output
N(E_F) in states/eV/atom: 0.46
Space group: No. 99

=====

b.
Computed, not measured: a relaxed DyErAlIn crystal at the PBE-GGA level of DFT.

a = 5.194 Å, b = 5.194 Å, c = 5.194 Å
α = 60.00°, β = 60.00°, γ = 60.00°
Element x y z (fractional)
Dy1 0.000 0.000 0.000
Al1 0.750 0.750 0.750
Er1 0.500 0.500 0.500
In1 0.250 0.250 0.250

Output
N(E_F) in states/eV/atom: 0.41
Space group: No. 216

=====

Stability, lowest: b